DFT (PBE) results for an optimized crystal structure of CaZrAl2.

M_tot   0.000 μB/cell
ΔH_f (0 K)   -0.032 eV per atom

Lattice parameters (Å, degrees): 4.9874 4.9874 6.4429 82.63 82.63 37.06
Positions (direct):
Zr: 0.2500 0.2500 0.2500
Al: 0.9972 0.9972 0.0506
Al: 0.5028 0.5028 0.4494
Ca: 0.7500 0.7500 0.7500